{"formula": "Rb2LaNiF6", "functional": "PBE with a Hubbard U", "state": "relaxed", "crystal_system": "tetragonal", "dft_energy_ev_per_atom": -4.980, "magnetic_moment_mub_per_fu": 1.00, "dos_at_fermi_per_ev_atom": 0.000, "mass_density_g_cm3": 4.0, "lattice": [[6.189, 0.000, 0.000], [0.000, 6.189, 0.000], [3.094, 3.094, 5.198]], "species": ["Ni", "F", "F", "F", "F", "F", "F", "Rb", "Rb", "La"], "fractional_positions": [[0.500, 0.500, 0.000], [0.222, 0.222, 0.556], [0.778, 0.778, 0.444], [0.264, 0.264, 0.000], [0.736, 0.736, 0.000], [0.736, 0.264, 0.000], [0.264, 0.736, 0.000], [0.750, 0.250, 0.500], [0.250, 0.750, 0.500], [0.000, 0.000, 0.000]]}